# PBE-GGA Mn2InSe, relaxed
data_Mn2InSe
_chemical_formula_sum 'Mn4 In2 Se2'
_cell_length_a 3.120
_cell_length_b 4.422
_cell_length_c 10.706
_cell_angle_alpha 90.00
_cell_angle_beta 90.00
_cell_angle_gamma 90.00
_symmetry_space_group_name_H-M 'I m m 2'
_symmetry_Int_Tables_number 44
_symmetry_space_group_name_Hall 'I 2 -2'
loop_
_atom_site_label
_atom_site_type_symbol
_atom_site_fract_x
_atom_site_fract_y
_atom_site_fract_z
Mn1 Mn 0.000 0.000 0.000
Mn2 Mn 0.000 0.500 0.278
In1 In 0.000 0.000 0.454
Se1 Se 0.000 0.500 0.683
# ΔE_f (raw) = 0.13 eV per atom
# Spin magnetization = 13.53 μB/cell
# E = -6.01 eV per atom
# Energy above the most stable polymorph in this dataset = 0.417 eV per formula unit



# PBE-GGA Pu2ThIn, relaxed
data_Pu2ThIn
_chemical_formula_sum 'Pu2 Th1 In1'
_cell_length_a 4.081
_cell_length_b 4.081
_cell_length_c 6.674
_cell_angle_alpha 90.00
_cell_angle_beta 90.00
_cell_angle_gamma 90.00
_symmetry_space_group_name_H-M 'P 4/m m m'
_symmetry_Int_Tables_number 123
_symmetry_space_group_name_Hall '-P 4 2'
loop_
_atom_site_label
_atom_site_type_symbol
_atom_site_fract_x
_atom_site_fract_y
_atom_site_fract_z
Pu1 Pu 0.000 0.000 0.233
Th1 Th 0.500 0.500 0.500
In1 In 0.500 0.500 0.000
# Spin magnetization = 12.31 μB/cell
# E = -9.66 eV per atom
# Formation energy = 0.0493 eV per atom
# Energy above the most stable polymorph in this dataset = 0.530 eV per formula unit



# PBE-GGA ZnSi2Ag, relaxed
data_ZnSi2Ag
_chemical_formula_sum 'Zn1 Si2 Ag1'
_cell_length_a 2.896
_cell_length_b 3.915
_cell_length_c 5.674
_cell_angle_alpha 90.00
_cell_angle_beta 90.00
_cell_angle_gamma 90.00
_symmetry_space_group_name_H-M 'P m m 2'
_symmetry_Int_Tables_number 25
_symmetry_space_group_name_Hall 'P 2 -2'
loop_
_atom_site_label
_atom_site_type_symbol
_atom_site_fract_x
_atom_site_fract_y
_atom_site_fract_z
Zn1 Zn 0.000 0.000 0.000
Si1 Si 0.000 0.000 0.532
Si2 Si 0.500 0.500 0.727
Ag1 Ag 0.500 0.500 0.228
# ΔE_f (raw) = 0.34 eV per atom
# Spin magnetization = 0.00 μB/cell
# E = -3.41 eV per atom



What is the E in the third record?
-3.41 eV per atom



What is the formula in the third record?
ZnSi2Ag



spin magnetization of number 2 (Pu2ThIn)?
12.31 μB/cell



What is the E in the second record?
-9.66 eV per atom